1.
## HfSi2SbN (PBE-GGA)

Data for a relaxed structure of HfSi2SbN.

Computed properties:
ΔE_f (raw) = 1557 meV/atom

Unit cell a=5.1141 b=5.1141 c=5.4458 alpha=90.00 beta=90.00 gamma=90.00
Space group P4/mmm (No. 123)
Inequivalent atoms, fractional coordinates:
1 Hf 0.0000 0.0000 0.0000 x1
2 Si 0.0000 0.5000 0.0000 x2
3 Sb 0.0000 0.0000 0.5000 x1
4 N 0.5000 0.5000 0.5000 x1


2.
## Rb2Ca2Si3O9 (PBE-GGA)

Data for a relaxed structure of Rb2Ca2Si3O9.

Computed properties:
ΔE_f (raw) = -2776 meV/atom

Unit cell a=6.6801 b=7.4762 c=12.2490 alpha=90.00 beta=119.16 gamma=90.00
Space group Pc (No. 7)
Inequivalent atoms, fractional coordinates:
1 Rb 0.0000 0.0882 0.0000 x2
2 Rb 0.3857 0.1606 0.3718 x2
3 Ca 0.4335 0.3346 0.6865 x2
4 Ca 0.9004 0.4353 0.4184 x2
5 Si 0.4327 0.3621 0.9562 x2
6 Si 0.6747 0.0845 0.1795 x2
7 Si 0.9886 0.2450 0.7241 x2
8 O 0.0370 0.3248 0.6165 x2
9 O 0.2459 0.2133 0.8531 x2
10 O 0.3000 0.4940 0.0058 x2
11 O 0.4516 0.0417 0.6379 x2
12 O 0.5492 0.4641 0.8839 x2
13 O 0.6283 0.2327 0.0671 x2
14 O 0.7673 0.1798 0.3143 x2
15 O 0.8259 0.3541 0.7641 x2
16 O 0.8928 0.0347 0.6839 x2


3.
## BeZnRh2 (PBE-GGA)

Data for a relaxed structure of BeZnRh2.

Computed properties:
energy above the most stable polymorph in this dataset = 469 meV per atom
calculated formation energy = 2.2 kJ/mol of formula units

Unit cell a=2.7863 b=4.5886 c=8.2536 alpha=90.00 beta=90.00 gamma=90.00
Space group Cmm2 (No. 35)
Inequivalent atoms, fractional coordinates:
1 Be 0.0000 0.0000 0.0000 x2
2 Zn 0.0000 0.5000 0.7538 x2
3 Rh 0.0000 0.0000 0.4933 x2
4 Rh 0.0000 0.5000 0.2096 x2


4.
## MgTi2IrBr (PBE-GGA)

Data for a relaxed structure of MgTi2IrBr.

Computed properties:
ΔE_f (raw) = 572 meV/atom

Unit cell a=4.6196 b=4.6196 c=4.7387 alpha=90.00 beta=90.00 gamma=90.00
Space group P4/mmm (No. 123)
Inequivalent atoms, fractional coordinates:
1 Mg 0.0000 0.0000 0.0000 x1
2 Ti 0.0000 0.5000 0.5000 x2
3 Ir 0.5000 0.5000 0.0000 x1
4 Br 0.5000 0.5000 0.5000 x1


5.
## Sm4Mg3Ga4 (PBE-GGA)

Data for a relaxed structure of Sm4Mg3Ga4.

Computed properties:
calculated formation energy = -222.7 kJ/mol of formula units

Unit cell a=4.1917 b=9.5961 c=14.2470 alpha=90.00 beta=90.00 gamma=90.00
Space group Immm (No. 71)
Inequivalent atoms, fractional coordinates:
1 Sm 0.0000 0.1769 0.1594 x8
2 Mg 0.0000 0.0000 0.3842 x4
3 Mg 0.0000 0.5000 0.5000 x2
4 Ga 0.0000 0.3679 0.0000 x4
5 Ga 0.0000 0.5000 0.2408 x4


6.
## PmSmTlAu (PBE-GGA)

Data for a relaxed structure of PmSmTlAu.

Computed properties:
energy above the most stable polymorph in this dataset = 46 meV per atom
calculated formation energy = -206.9 kJ/mol of formula units

Unit cell a=7.5772 b=7.5772 c=7.5772 alpha=90.00 beta=90.00 gamma=90.00
Space group F-43m (No. 216)
Inequivalent atoms, fractional coordinates:
1 Pm 0.0000 0.0000 0.0000 x4
2 Sm 0.0000 0.0000 0.5000 x4
3 Tl 0.2500 0.2500 0.2500 x4
4 Au 0.2500 0.2500 0.7500 x4


Total energy across the listed records, respectively: -5.0924 -6.9533 -4.9201 -5.0116 -3.4614 -4.3146 eV/atom.